(1)
Compound: K6AgBi2
Source: Alexandria via LeMat-Bulk
Functional: PBE
Structure: optimized geometry

The crystal system is trigonal.

The structure belongs to space group R-3m (No. 166, hexagonal axes); the cell edges are 6.2035, 6.2035 and 34.9478 Å and the angles 90.00°, 90.00° and 120.00°. The asymmetric unit holds K at (0.0000, 0.0000, 0.0758), K at (0.0000, 0.0000, 0.1991), K at (0.0000, 0.0000, 0.3101), Ag at (0.0000, 0.0000, 0.5000) and Bi at (0.0000, 0.0000, 0.4189).


(2)
Compound: Ac2GaS
Source: Alexandria via LeMat-Bulk
Functional: PBE
Structure: optimized geometry

The calculation puts the uncorrected formation energy at -1.028 eV per atom. The crystal system is tetragonal.

The structure belongs to space group P4/mmm (No. 123); the cell edges are 3.7128, 3.7128 and 8.1278 Å and the angles 90.00°, 90.00° and 90.00°. The asymmetric unit holds Ac at (0.0000, 0.0000, 0.2399), Ga at (0.5000, 0.5000, 0.5000) and S at (0.5000, 0.5000, 0.0000).


(3)
Compound: La2TbEr4Tm
Source: Alexandria via LeMat-Bulk
Functional: PBE
Structure: optimized geometry

The crystal system is monoclinic.

The structure belongs to space group C2/m (No. 12); the cell edges are 12.3649, 7.1435 and 12.3431 Å and the angles 90.00°, 109.50° and 90.00°. The asymmetric unit holds La at (0.0000, 0.0000, 0.0000), La at (0.0000, 0.0000, 0.5000), La at (0.2500, 0.2500, 0.0000), Tb at (0.0000, 0.5000, 0.0000), Tb at (0.0000, 0.5000, 0.5000), Er at (0.0013, 0.2511, 0.2530), Er at (0.2487, 0.5000, 0.7459), Er at (0.2499, 0.0000, 0.7468) and Tm at (0.2500, 0.2500, 0.5000).


(4)
Compound: MgPd2Pt
Source: Alexandria via LeMat-Bulk
Functional: PBE
Structure: optimized geometry

The crystal system is orthorhombic.

The structure belongs to space group Cmcm (No. 63); the cell edges are 5.7052, 9.4596 and 4.6570 Å and the angles 90.00°, 90.00° and 90.00°. The asymmetric unit holds Mg at (0.0000, 0.1014, 0.2500), Pd at (0.2473, 0.1564, 0.7500) and Pt at (0.0000, 0.4104, 0.7500).


(5)
Compound: SrCr2Pt
Source: Alexandria via LeMat-Bulk
Functional: PBE
Structure: optimized geometry

The crystal system is monoclinic.

The structure belongs to space group P2/m (No. 10); the cell edges are 3.0171, 4.6754 and 5.9744 Å and the angles 90.00°, 102.43° and 90.00°. The asymmetric unit holds Sr at (0.0000, 0.0000, 0.0000), Cr at (0.2584, 0.5000, 0.6259) and Pt at (0.5000, 0.0000, 0.5000).


(6)
Compound: CsSr2La
Source: Alexandria via LeMat-Bulk
Functional: PBE
Structure: optimized geometry

The crystal system is cubic.

The structure belongs to space group Fm-3m (No. 225); the cell edges are 9.5650, 9.5650 and 9.5650 Å and the angles 90.00°, 90.00° and 90.00°. The asymmetric unit holds Cs at (0.0000, 0.0000, 0.0000), Sr at (0.2500, 0.2500, 0.2500) and La at (0.0000, 0.0000, 0.5000).


(7)
Compound: ThCuSn2
Source: Alexandria via LeMat-Bulk
Functional: PBE
Structure: optimized geometry

The crystal system is tetragonal.

The structure belongs to space group P4/mmm (No. 123); the cell edges are 4.6035, 4.6035 and 4.5653 Å and the angles 90.00°, 90.00° and 90.00°. The asymmetric unit holds Th at (0.0000, 0.0000, 0.0000), Cu at (0.5000, 0.5000, 0.0000) and Sn at (0.0000, 0.5000, 0.5000).


(8)
Compound: FeIrSe2N
Source: Alexandria via LeMat-Bulk
Functional: PBE
Structure: optimized geometry

The calculation puts the uncorrected formation energy at 0.682 eV per atom. The crystal system is tetragonal.

The structure belongs to space group P4/mmm (No. 123); the cell edges are 5.1456, 5.1456 and 3.6293 Å and the angles 90.00°, 90.00° and 90.00°. The asymmetric unit holds Fe at (0.0000, 0.0000, 0.0000), Ir at (0.5000, 0.5000, 0.5000), Se at (0.0000, 0.5000, 0.5000) and N at (0.5000, 0.5000, 0.0000).


(9)
Compound: CsPr2IrO8
Source: Alexandria via LeMat-Bulk
Functional: PBE
Structure: optimized geometry

The calculation puts the uncorrected formation energy at -1.754 eV per atom. The crystal system is triclinic.

The structure belongs to space group P-1 (No. 2); the cell edges are 4.8021, 4.8749 and 8.2451 Å and the angles 94.97°, 95.84° and 95.49°. The asymmetric unit holds Cs at (0.0000, 0.0000, 0.0000), Pr at (0.4412, 0.4492, 0.7155), Ir at (0.0000, 0.0000, 0.5000), O at (0.0916, 0.7205, 0.3361), O at (0.2742, 0.2654, 0.4350), O at (0.2767, 0.9145, 0.6720) and O at (0.3900, 0.6005, 0.0010).


(10)
Compound: RbMg2Cd10
Source: Alexandria via LeMat-Bulk
Functional: PBE
Structure: optimized geometry

The crystal system is orthorhombic.

The structure belongs to space group Fmmm (No. 69); the cell edges are 6.0835, 14.4445 and 14.6453 Å and the angles 90.00°, 90.00° and 90.00°. The asymmetric unit holds Rb at (0.0000, 0.0000, 0.0000), Mg at (0.2500, 0.0000, 0.2500), Cd at (0.0000, 0.1104, 0.3876), Cd at (0.0000, 0.1747, 0.1777) and Cd at (0.2500, 0.2500, 0.0000).


(11)
Compound: Mn2IrPb
Source: Alexandria via LeMat-Bulk
Functional: PBE
Structure: optimized geometry

The crystal system is monoclinic.

The structure belongs to space group Cm (No. 8); the cell edges are 9.3552, 3.1216 and 4.7548 Å and the angles 90.00°, 102.99° and 90.00°. The asymmetric unit holds Mn at (0.0000, 0.0000, 0.0000), Mn at (0.2461, 0.0000, 0.7760), Ir at (0.0157, 0.5000, 0.5535) and Pb at (0.2600, 0.5000, 0.2791).


(12)
Compound: CsHgPbAu
Source: Alexandria via LeMat-Bulk
Functional: PBE
Structure: optimized geometry

The crystal system is monoclinic.

The structure belongs to space group Cm (No. 8); the cell edges are 8.8786, 5.0027 and 7.4875 Å and the angles 90.00°, 113.71° and 90.00°. The asymmetric unit holds Cs at (0.0000, 0.0000, 0.0000), Hg at (0.0350, 0.5000, 0.5869), Pb at (0.3139, 0.5000, 0.4244) and Au at (0.1934, 0.0000, 0.5600).


Number 1: raw total energy -2.1911 eV/atom. Number 2: raw total energy -4.8709 eV/atom. Number 3: raw total energy -4.6260 eV/atom. Number 4: raw total energy -4.9611 eV/atom. Number 5: raw total energy -6.3086 eV/atom. Number 6: raw total energy -1.8877 eV/atom. Number 7: raw total energy -5.1756 eV/atom. Number 8: raw total energy -5.8414 eV/atom. Number 9: raw total energy -6.6653 eV/atom. Number 10: raw total energy -1.0655 eV/atom. Number 11: raw total energy -7.3939 eV/atom. Number 12: raw total energy -2.1910 eV/atom.